DFT (PBE) results for BaCd2Cl after structural relaxation.

Magnetization   0.000 μB per formula unit
Excess energy over the best structure of this formula in the dataset   3.48 kcal/mol of atoms
Space group   I-42d
DFT total energy   -2.1049 eV per atom

Cell lengths 9.694, 9.694, 7.488 Å; angles 49.66, 49.66, 90.00 degrees
Atoms (fractional coordinates):
Cd  0.147  0.625  0.250
Cd  0.603  0.125  0.250
Cd  0.375  0.397  0.750
Cd  0.875  0.853  0.750
Cl  0.500  0.500  0.000
Cl  0.250  0.750  0.500
Ba  0.750  0.250  0.500
Ba  0.000  0.000  0.000